No. 1
A plane-wave DFT calculation with PBE-GGA was carried out for an optimized crystal structure of NaAl3B.

Properties
The value obtained for the formation energy is 1.950 eV/atom. For the calculated total energy, the calculation gives -1.89 eV per atom. The symmetry is Pm-3m (221). The calculation puts the energy relative to the lowest polymorph listed for this composition at 1534 meV per atom.

```
NaAl3B
1.0
5.0790 0.0000 0.0000
0.0000 5.0790 0.0000
0.0000 0.0000 5.0790
Na Al B
1 3 1
direct
0.0000 0.0000 0.0000
0.0000 0.0000 0.5000
0.0000 0.5000 0.0000
0.5000 0.0000 0.0000
0.5000 0.5000 0.5000
```


No. 2
A plane-wave DFT calculation with PBE-GGA was carried out for an optimized crystal structure of Te2CIF.

Properties
For the calculated total energy, the calculation gives -2.42 eV per atom. The symmetry is P4/mmm (123). The energy relative to the elements, uncorrected is 1361 meV/atom. The calculation puts the energy relative to the lowest polymorph listed for this composition at 536 meV per atom.

```
Te2CIF
1.0
4.5524 0.0000 0.0000
0.0000 4.5524 0.0000
0.0000 0.0000 7.6567
Te C I F
2 1 1 1
direct
0.0000 0.5000 0.0000
0.5000 0.0000 0.0000
0.0000 0.0000 0.5000
0.5000 0.5000 0.5000
0.5000 0.5000 0.0000
```


No. 3
A plane-wave DFT calculation with PBE-GGA was carried out for an optimized crystal structure of CaGa2P2.

Properties
The value obtained for the formation energy is -0.412 eV/atom. For the calculated total energy, the calculation gives -4.19 eV per atom. The symmetry is I4/mmm (139). The calculation puts the energy relative to the lowest polymorph listed for this composition at 266 meV per atom.

```
CaGa2P2
1.0
-2.3709 2.3709 4.3690
2.3709 -2.3709 4.3690
2.3709 2.3709 -4.3690
Ca Ga P
1 2 2
direct
0.0000 0.0000 0.0000
0.3551 0.3551 0.0000
0.6449 0.6449 0.0000
0.2500 0.7500 0.5000
0.7500 0.2500 0.5000
```